1.
Here is a geometry-optimized ScTiGe2O8 structure from Alexandria via LeMat-Bulk. Energies are from PBE.

space group: No. 119
energy: -7.364 eV per atom
total moment: 0.86 μB/f.u.
volume: 137.21 Å³ per cell
DOS at the Fermi energy: 8.6 states/eV per cell

Cell lengths 5.6293, 5.6293, 5.6293 Å; angles 108.54, 108.54, 111.35 degrees
With the nearest neighbours (Å) after each atom.
Atoms (fractional coordinates):
Sc1 0.2500 0.7500 0.5000  4 O 2.08
O1 0.7651 0.0643 0.7008  1 Ge 1.77
Ge1 0.5000 0.5000 0.0000  4 O 1.76
O2 0.9357 0.2349 0.2992  1 Ge 1.77
O3 0.5081 0.6963 0.8118  1 Ge 1.76
O4 0.3037 0.4919 0.1882  1 Ge 1.76
Ge2 0.7500 0.2500 0.5000  4 O 1.77
O5 0.3037 0.1156 0.8118  1 Ge 1.76
Ti1 0.0000 0.0000 0.0000  4 O 2.01
O6 0.9357 0.6365 0.7008  1 Ge 1.77
O7 0.8844 0.6963 0.1882  1 Ge 1.76
O8 0.3635 0.0643 0.2992  1 Ge 1.77



2.
Here is a geometry-optimized ScTiGe2O structure from Alexandria via LeMat-Bulk. Energies are from PBE.

space group: No. 123
energy: -6.437 eV per atom
total moment: 0.83 μB/f.u.
volume: 83.62 Å³ per cell
DOS at the Fermi energy: 3.1 states/eV per cell

Cell lengths 4.6484, 3.8700, 4.6484 Å; angles 90.00, 90.00, 90.00 degrees
With the nearest neighbours (Å) after each atom.
Atoms (fractional coordinates):
Ge1 0.5000 0.0000 0.0000  2 O 2.32
Ge2 0.0000 0.0000 0.5000  2 O 2.32
Sc1 0.5000 0.5000 0.5000  8 Ge 3.02, 4 Ti 3.29
Ti1 0.0000 0.5000 0.0000  2 O 1.93
O1 0.0000 0.0000 0.0000  2 Ti 1.93



Respective ρ values: 4.43; 5.05 g/cm³.
Respective formation energy without anion corrections values: -2.104; -0.753 eV/atom.